No. 1
## ZrO3 (PBE-GGA)

Data for crystalline ZrO3 at its relaxed geometry.

It has space group Cc (No. 9), with a = 4.748 Å, b = 9.398 Å, c = 5.544 Å, α = 90.00°, β = 107.57° and γ = 90.00°. The asymmetric unit holds Zr at (0.000, 0.115, 0.000), O at (0.227, 0.059, 0.741), O at (0.252, 0.250, 0.250) and O at (0.275, 0.441, 0.760).

For the energy above the lowest structure with this stoichiometry, the calculation gives 438.6 meV/atom.



No. 2
## Al2PdI2Br6 (PBE-GGA)

Data for crystalline Al2PdI2Br6 at its relaxed geometry.

It has space group C2/m (No. 12), with a = 12.797 Å, b = 8.811 Å, c = 7.585 Å, α = 90.00°, β = 96.56° and γ = 90.00°. The asymmetric unit holds Al at (0.216, 0.000, 0.314), Pd at (0.000, 0.000, 0.000), I at (0.190, 0.000, 0.638), Br at (0.114, 0.197, 0.157) and Br at (0.114, 0.500, 0.744).

For the energy above the lowest structure with this stoichiometry, the calculation gives 0.0 meV/atom.